LaPm2Ti: optimized geometry, PBE.

Cell and atoms, written as POSCAR:
```
LaPm2Ti
1.0
1.7123 0.9886 12.1080
-1.7123 0.9886 12.1080
0.0000 -1.9772 12.1080
La Pm Ti
1 2 1
Cartesian
0.0000 0.0000 0.0000
0.0000 0.0000 15.1904
0.0000 0.0000 21.1336
0.0000 0.0000 18.1620
```

Computed properties:
* total magnetization: 1.915 Bohr magnetons per cell
* energy: -0.18808 hartree per atom

LaPm7Tl5: optimized geometry, PBE.

Cell and atoms, written as POSCAR:
```
LaPm7Tl5
1.0
-3.3626 5.4510 5.6050
3.3626 -5.4510 5.6050
3.3626 5.4510 -5.6050
La Pm Tl
1 7 5
Cartesian
0.0000 0.0000 0.0000
3.3626 2.0961 0.3968
0.0000 0.0000 3.7832
0.0000 3.6997 0.2045
0.0000 0.0000 7.3777
0.0000 7.2023 0.2045
0.0000 5.4510 3.2833
0.0000 3.3549 6.0018
1.6704 2.6366 -2.4882
5.0549 2.6366 -2.4882
3.3626 0.0000 2.9358
-1.6923 2.8144 3.1168
1.6923 2.8144 3.1168
```

Computed properties:
* total magnetization: 0.000 Bohr magnetons per cell
* energy: -0.14880 hartree per atom

La5Pm2Tl: optimized geometry, PBE.

Cell and atoms, written as POSCAR:
```
La5Pm2Tl
1.0
7.3133 0.0000 0.0000
0.0000 14.8387 0.0000
0.0000 0.0000 5.0073
La Pm Tl
10 4 2
Cartesian
0.0000 0.0000 0.0000
0.0218 3.8202 0.0000
1.8291 5.5872 2.5037
1.8276 13.0066 2.5037
3.6349 11.2396 0.0000
3.6567 7.4193 0.0000
3.6784 3.5991 0.0000
5.4857 1.8321 2.5037
5.4843 9.2514 2.5037
7.2916 11.0184 0.0000
1.7402 9.1636 2.5037
1.9164 1.7442 2.5037
5.3969 13.0944 2.5037
5.5731 5.6751 2.5037
0.0000 7.4193 0.0000
3.6567 0.0000 0.0000
```

Computed properties:
* total magnetization: 0.000 Bohr magnetons per cell
* energy: -0.17031 hartree per atom

La3Pm3Tl2: optimized geometry, PBE.

Cell and atoms, written as POSCAR:
```
La3Pm3Tl2
1.0
4.9544 0.0000 0.0000
0.0000 5.0025 0.0000
0.0000 0.0000 10.1725
La Pm Tl
3 3 2
Cartesian
0.0000 0.0000 0.0000
0.0000 0.0000 5.0863
2.4772 2.5012 0.0000
2.4772 0.0000 2.5637
2.4772 0.0000 7.6088
2.4772 2.5012 5.0863
0.0000 2.5012 2.5742
0.0000 2.5012 7.5984
```

Computed properties:
* total magnetization: 0.001 Bohr magnetons per cell
* energy: -0.16318 hartree per atom

La5Pm2Tl: optimized geometry, PBE.

Cell and atoms, written as POSCAR:
```
La5Pm2Tl
1.0
3.6767 -5.8270 0.0000
3.6767 5.8270 0.0000
-3.6760 0.0000 6.3518
La Pm Tl
5 2 1
Cartesian
0.0000 0.0000 0.0000
-1.6548 0.0000 3.0637
0.1812 2.9163 4.1839
0.3544 0.0000 6.3498
0.1812 -2.9163 4.1839
2.0160 2.6851 1.0983
2.0160 -2.6851 1.0983
2.0172 0.0000 3.2008
```

Computed properties:
* total magnetization: 0.000 Bohr magnetons per cell
* energy: -0.17120 hartree per atom

La2Pm4Tl3: optimized geometry, PBE.

Cell and atoms, written as POSCAR:
```
La2Pm4Tl3
1.0
6.9363 0.0000 0.0000
0.0000 18.3556 0.0000
0.0000 0.0000 4.7409
La Pm Tl
4 8 6
Cartesian
1.2149 1.3254 0.0000
2.2532 10.5032 2.3704
4.6831 7.8524 2.3704
5.7214 17.0302 0.0000
0.6802 13.1161 0.0000
1.1700 7.1953 2.3704
2.2982 16.3731 0.0000
2.7880 3.9383 2.3704
4.1483 14.4173 2.3704
4.6381 1.9825 0.0000
5.7663 11.1603 2.3704
6.2561 5.2395 0.0000
0.0000 9.1778 0.0000
0.4392 15.1997 2.3704
3.0290 6.0219 0.0000
3.4682 0.0000 2.3704
3.9073 12.3337 0.0000
6.4971 3.1559 2.3704
```

Computed properties:
* total magnetization: 0.000 Bohr magnetons per cell
* energy: -0.15274 hartree per atom